1.
# PBE Tb8Tm3In4, optimized geometry
data_Tb8Tm3In4
_chemical_formula_sum 'Tb8 Tm3 In4'
_cell_length_a 11.2055
_cell_length_b 9.0884
_cell_length_c 9.0884
_cell_angle_alpha 88.49
_cell_angle_beta 128.27
_cell_angle_gamma 128.27
_symmetry_space_group_name_H-M 'P 1'
_symmetry_Int_Tables_number 1
loop_
_symmetry_equiv_pos_as_xyz
'x,y,z'
loop_
_atom_site_label
_atom_site_type_symbol
_atom_site_fract_x
_atom_site_fract_y
_atom_site_fract_z
In1 In 0.0000 0.0000 0.5000
In2 In 0.0000 0.5000 0.0000
In3 In 0.0000 0.0000 0.0000
In4 In 0.5000 0.0000 0.0000
Tm1 Tm 0.5000 0.0000 0.5000
Tm2 Tm 0.5000 0.5000 0.0000
Tm3 Tm 0.5000 0.5000 0.5000
Tb1 Tb 0.0126 0.7535 0.7535
Tb2 Tb 0.0000 0.6451 0.3549
Tb3 Tb 0.5000 0.7589 0.2411
Tb4 Tb 0.5000 0.2411 0.7589
Tb5 Tb 0.4830 0.7520 0.7520
Tb6 Tb 0.9874 0.2465 0.2465
Tb7 Tb 0.5170 0.2480 0.2480
Tb8 Tb 0.0000 0.3549 0.6451
# SG: C2/m
# Energy of formation from the pure elements in eV/atom: 0.074
# Fermi-level density of states in states/eV per atom: 1.350
# Raw total energy in eV per atom: -4.020

=====

2.
# PBE Tb2Tm2In, optimized geometry
data_Tb2Tm2In
_chemical_formula_sum 'Tb2 Tm2 In1'
_cell_length_a 4.3100
_cell_length_b 4.3100
_cell_length_c 9.1251
_cell_angle_alpha 103.66
_cell_angle_beta 103.66
_cell_angle_gamma 90.00
_symmetry_space_group_name_H-M 'P 1'
_symmetry_Int_Tables_number 1
loop_
_symmetry_equiv_pos_as_xyz
'x,y,z'
loop_
_atom_site_label
_atom_site_type_symbol
_atom_site_fract_x
_atom_site_fract_y
_atom_site_fract_z
In1 In 0.0000 0.0000 0.0000
Tb1 Tb 0.7500 0.2500 0.5000
Tb2 Tb 0.2500 0.7500 0.5000
Tm1 Tm 0.4103 0.4103 0.8207
Tm2 Tm 0.5897 0.5897 0.1793
# SG: I4/mmm
# Energy of formation from the pure elements in eV/atom: 0.321
# Fermi-level density of states in states/eV per atom: 1.612
# Raw total energy in eV per atom: -3.868
# ΔE to the lowest computed polymorph in meV/atom: 269.2

=====

3.
# PBE Tb3TmIn3, optimized geometry
data_Tb3TmIn3
_chemical_formula_sum 'Tb6 Tm2 In6'
_cell_length_a 5.5178
_cell_length_b 9.0515
_cell_length_c 9.0515
_cell_angle_alpha 120.00
_cell_angle_beta 90.00
_cell_angle_gamma 90.00
_symmetry_space_group_name_H-M 'P 1'
_symmetry_Int_Tables_number 1
loop_
_symmetry_equiv_pos_as_xyz
'x,y,z'
loop_
_atom_site_label
_atom_site_type_symbol
_atom_site_fract_x
_atom_site_fract_y
_atom_site_fract_z
Tb1 Tb 0.7500 0.4543 0.0951
Tb2 Tb 0.7500 0.9049 0.3592
Tb3 Tb 0.7500 0.6408 0.5457
Tb4 Tb 0.2500 0.0951 0.6408
Tb5 Tb 0.2500 0.5457 0.9049
Tb6 Tb 0.2500 0.3592 0.4543
Tm1 Tm 0.7500 0.3333 0.6667
Tm2 Tm 0.2500 0.6667 0.3333
In1 In 0.2500 0.8151 0.7663
In2 In 0.2500 0.9511 0.1849
In3 In 0.7500 0.0489 0.8151
In4 In 0.2500 0.2337 0.0489
In5 In 0.7500 0.7663 0.9511
In6 In 0.7500 0.1849 0.2337
# SG: P6_3/m
# Energy of formation from the pure elements in eV/atom: -0.217
# Fermi-level density of states in states/eV per atom: 1.028
# Raw total energy in eV per atom: -4.013
# ΔE to the lowest computed polymorph in meV/atom: 93.4

=====

4.
# PBE Tb9Tm2In, optimized geometry
data_Tb9Tm2In
_chemical_formula_sum 'Tb9 Tm2 In1'
_cell_length_a 4.9396
_cell_length_b 4.9396
_cell_length_c 15.0687
_cell_angle_alpha 90.00
_cell_angle_beta 90.00
_cell_angle_gamma 90.00
_symmetry_space_group_name_H-M 'P 1'
_symmetry_Int_Tables_number 1
loop_
_symmetry_equiv_pos_as_xyz
'x,y,z'
loop_
_atom_site_label
_atom_site_type_symbol
_atom_site_fract_x
_atom_site_fract_y
_atom_site_fract_z
Tb1 Tb 0.5000 0.0000 0.1626
Tb2 Tb 0.5000 0.0000 0.8374
Tb3 Tb 0.5000 0.5000 0.6702
Tb4 Tb 0.5000 0.0000 0.5000
Tb5 Tb 0.0000 0.5000 0.1626
Tb6 Tb 0.5000 0.5000 0.0000
Tb7 Tb 0.5000 0.5000 0.3298
Tb8 Tb 0.0000 0.5000 0.8374
Tb9 Tb 0.0000 0.5000 0.5000
In1 In 0.0000 0.0000 0.0000
Tm1 Tm 0.0000 0.0000 0.6676
Tm2 Tm 0.0000 0.0000 0.3324
# SG: P4/mmm
# Energy of formation from the pure elements in eV/atom: -0.070
# Fermi-level density of states in states/eV per atom: 1.255
# Raw total energy in eV per atom: -4.517

=====

5.
# PBE Tb2TmIn3, optimized geometry
data_Tb2TmIn3
_chemical_formula_sum 'Tb2 Tm1 In3'
_cell_length_a 3.5453
_cell_length_b 3.5453
_cell_length_c 12.5912
_cell_angle_alpha 90.00
_cell_angle_beta 90.00
_cell_angle_gamma 90.00
_symmetry_space_group_name_H-M 'P 1'
_symmetry_Int_Tables_number 1
loop_
_symmetry_equiv_pos_as_xyz
'x,y,z'
loop_
_atom_site_label
_atom_site_type_symbol
_atom_site_fract_x
_atom_site_fract_y
_atom_site_fract_z
Tb1 Tb 0.5000 0.5000 0.8314
Tb2 Tb 0.5000 0.5000 0.1686
In1 In 0.0000 0.0000 0.6632
In2 In 0.0000 0.0000 0.3368
In3 In 0.0000 0.0000 0.0000
Tm1 Tm 0.5000 0.5000 0.5000
# SG: P4/mmm
# Energy of formation from the pure elements in eV/atom: -0.460
# Fermi-level density of states in states/eV per atom: 0.545
# Raw total energy in eV per atom: -4.118

=====

6.
# PBE Tb6TmIn2, optimized geometry
data_Tb6TmIn2
_chemical_formula_sum 'Tb6 Tm1 In2'
_cell_length_a 4.7684
_cell_length_b 5.9858
_cell_length_c 10.4082
_cell_angle_alpha 73.77
_cell_angle_beta 76.76
_cell_angle_gamma 66.53
_symmetry_space_group_name_H-M 'P 1'
_symmetry_Int_Tables_number 1
loop_
_symmetry_equiv_pos_as_xyz
'x,y,z'
loop_
_atom_site_label
_atom_site_type_symbol
_atom_site_fract_x
_atom_site_fract_y
_atom_site_fract_z
Tb1 Tb 0.3288 0.7887 0.5537
Tb2 Tb 0.3292 0.4510 0.8907
Tb3 Tb 0.6712 0.2113 0.4463
Tb4 Tb 0.9926 0.3409 0.6740
Tb5 Tb 0.0074 0.6591 0.3260
Tb6 Tb 0.6708 0.5490 0.1093
In1 In 0.3408 0.1029 0.2156
In2 In 0.6592 0.8971 0.7844
Tm1 Tm 0.0000 0.0000 0.0000
# SG: C2/m
# Energy of formation from the pure elements in eV/atom: -0.201
# Fermi-level density of states in states/eV per atom: 1.283
# Raw total energy in eV per atom: -4.393
# ΔE to the lowest computed polymorph in meV/atom: 0.0